(1)
! In3I2Br2 (PBE-GGA, optimized geometry); values from VASP
&SYSTEM
  ibrav = 0, nat = 7, ntyp = 3
/
ATOMIC_SPECIES
I 126.90 I.upf
In 114.82 In.upf
Br 79.90 Br.upf
ATOMIC_POSITIONS angstrom
I 0.001 1.154 2.891
In -0.012 2.100 6.100
In 2.321 3.506 2.080
Br 0.003 5.193 0.447
Br 2.306 0.414 7.733
I 2.308 4.452 5.290
In 0.000 0.000 0.000
CELL_PARAMETERS angstrom
4.625 -0.008 0.000
-2.310 7.055 -0.368
-0.006 -1.441 8.549
! - magnetization (μB per cell) = 0.000
! - density (g cm⁻³) = 4.6
! - Fermi-level density of states (states/eV/cell) = 3.2
! - electronic total energy (eV per cell) = -18.4
! - symmetry = P-1, No. 2

***

(2)
! TbNd4Y2Tm2 (PBE-GGA, optimized geometry); values from VASP
&SYSTEM
  ibrav = 0, nat = 9, ntyp = 4
/
ATOMIC_SPECIES
Y 88.91 Y.upf
Tm 168.93 Tm.upf
Nd 144.24 Nd.upf
Tb 158.93 Tb.upf
ATOMIC_POSITIONS angstrom
Y 0.000 -0.005 5.115
Tm 2.545 0.005 7.637
Nd 2.545 2.535 5.121
Nd 0.000 2.555 2.533
Y 2.545 5.095 2.538
Nd 2.545 -0.010 2.514
Tm 0.000 5.084 0.016
Tb 0.000 0.000 0.000
Nd 0.000 5.100 5.140
CELL_PARAMETERS angstrom
5.089 0.000 0.000
-2.545 7.648 0.024
0.000 -2.559 7.629
! - magnetization (μB per cell) = 0.000
! - E_form (eV/f.u.) = 0.2
! - density (g cm⁻³) = 7.0
! - Fermi-level density of states (states/eV/cell) = 13.4
! - symmetry = C2/m, No. 12

***

(3)
! ZnSiIr4 (PBE-GGA, optimized geometry); values from VASP
&SYSTEM
  ibrav = 0, nat = 6, ntyp = 3
/
ATOMIC_SPECIES
Si 28.09 Si.upf
Ir 192.22 Ir.upf
Zn 65.41 Zn.upf
ATOMIC_POSITIONS angstrom
Si -5.832 -7.054 -2.648
Ir -2.917 -3.527 -1.324
Ir -5.108 -4.101 -2.584
Ir -4.433 -5.451 -0.476
Zn 0.000 0.000 0.000
Ir -3.095 -5.731 -2.678
CELL_PARAMETERS angstrom
-3.034 -3.848 1.697
-4.385 -1.148 -2.520
-0.356 -4.408 -2.709
! - magnetization (μB per cell) = 0.001
! - density (g cm⁻³) = 14.5
! - Fermi-level density of states (states/eV/cell) = 9.5
! - electronic total energy (eV per cell) = -39.1
! - symmetry = F-43m, No. 216

***

(4)
! YCd2Pt (PBE-GGA, optimized geometry); values from VASP
&SYSTEM
  ibrav = 0, nat = 4, ntyp = 3
/
ATOMIC_SPECIES
Y 88.91 Y.upf
Pt 195.08 Pt.upf
Cd 112.41 Cd.upf
ATOMIC_POSITIONS angstrom
Y 2.661 -0.037 1.562
Pt 0.864 2.517 1.562
Cd 0.000 0.000 0.000
Cd 3.525 2.480 0.000
CELL_PARAMETERS angstrom
5.322 -0.074 0.000
1.727 5.034 0.000
-3.525 -2.480 3.123
! - magnetization (μB per cell) = 0.000
! - E_form (eV/f.u.) = -1.9
! - density (g cm⁻³) = 10.0
! - Fermi-level density of states (states/eV/cell) = 2.3
! - symmetry = I4/mmm, No. 139

***

(5)
! Li2Nd3TmSe6 (PBE-GGA, optimized geometry); values from VASP
&SYSTEM
  ibrav = 0, nat = 12, ntyp = 4
/
ATOMIC_SPECIES
Se 78.96 Se.upf
Nd 144.24 Nd.upf
Li 6.94 Li.upf
Tm 168.93 Tm.upf
ATOMIC_POSITIONS angstrom
Se 3.570 2.052 5.162
Nd 4.744 0.007 3.353
Nd -2.365 4.113 3.353
Se -1.191 2.067 1.544
Nd 1.190 2.060 3.353
Se 0.003 0.005 5.145
Se 2.385 0.001 1.544
Li 0.000 4.118 0.002
Li 3.567 2.058 0.002
Se 2.376 4.114 1.562
Tm 0.000 0.000 0.000
Se -0.006 4.118 5.162
CELL_PARAMETERS angstrom
7.134 -0.002 0.002
-3.567 6.178 0.002
-1.188 -2.057 6.703
! - magnetization (μB per cell) = 0.000
! - density (g cm⁻³) = 6.1
! - Fermi-level density of states (states/eV/cell) = 2.8
! - electronic total energy (eV per cell) = -64.2
! - symmetry = C2/m, No. 12

***

(6)
! YErTlPd (PBE-GGA, optimized geometry); values from VASP
&SYSTEM
  ibrav = 0, nat = 4, ntyp = 4
/
ATOMIC_SPECIES
Y 88.91 Y.upf
Tl 204.38 Tl.upf
Er 167.26 Er.upf
Pd 106.42 Pd.upf
ATOMIC_POSITIONS angstrom
Y -2.261 -8.972 2.056
Tl 0.000 0.000 0.000
Er -0.754 -2.991 0.685
Pd -1.507 -5.981 1.370
CELL_PARAMETERS angstrom
-2.228 -3.092 3.477
-2.663 -4.136 -1.556
1.877 -4.735 0.820
! - magnetization (μB per cell) = 0.000
! - E_form (eV/f.u.) = -2.2
! - density (g cm⁻³) = 9.7
! - Fermi-level density of states (states/eV/cell) = 3.8
! - symmetry = F-43m, No. 216

***

(7)
! PrMgBi3 (PBE-GGA, optimized geometry); values from VASP
&SYSTEM
  ibrav = 0, nat = 20, ntyp = 3
/
ATOMIC_SPECIES
Mg 24.30 Mg.upf
Bi 208.98 Bi.upf
Pr 140.91 Pr.upf
ATOMIC_POSITIONS angstrom
Mg 3.293 1.635 1.571
Bi 0.000 1.635 7.019
Bi 0.000 4.905 7.076
Bi 4.940 0.033 10.439
Mg 0.000 1.635 1.571
Bi 1.647 4.406 1.115
Pr 1.647 0.008 9.609
Bi 4.940 2.135 12.980
Mg 3.293 4.905 12.524
Bi 1.647 1.136 12.980
Bi 3.293 4.905 7.076
Bi 4.940 5.405 1.115
Pr 4.940 6.533 4.486
Bi 1.647 6.507 3.656
Mg 0.000 4.905 12.524
Pr 1.647 3.278 4.486
Bi 3.293 1.635 7.019
Bi 4.940 3.304 3.656
Pr 4.940 3.262 9.609
Bi 1.647 3.237 10.439
CELL_PARAMETERS angstrom
6.587 0.000 0.000
0.000 6.541 0.000
0.000 0.000 14.095
! - magnetization (μB per cell) = 0.000
! - E_form (eV/f.u.) = -2.2
! - density (g cm⁻³) = 8.7
! - Fermi-level density of states (states/eV/cell) = 9.2
! - symmetry = Pbcm, No. 57

***

(8)
! Ba4ZnPd (PBE-GGA, optimized geometry); values from VASP
&SYSTEM
  ibrav = 0, nat = 12, ntyp = 3
/
ATOMIC_SPECIES
Ba 137.33 Ba.upf
Pd 106.42 Pd.upf
Zn 65.41 Zn.upf
ATOMIC_POSITIONS angstrom
Ba 0.070 6.115 5.777
Pd 2.674 1.221 7.542
Pd 2.919 6.129 -2.724
Ba 3.810 3.573 5.638
Ba 2.816 6.566 2.673
Ba 0.048 1.786 5.825
Ba 5.545 5.564 -1.006
Ba 5.523 1.235 -0.958
Zn 4.564 3.703 1.727
Ba 2.777 0.783 2.146
Zn 1.029 3.646 3.092
Ba 1.783 3.777 -0.819
CELL_PARAMETERS angstrom
7.125 0.188 -2.567
-1.241 7.543 -3.020
-0.291 -0.381 10.406
! - magnetization (μB per cell) = 0.000
! - E_form (eV/f.u.) = -1.3
! - density (g cm⁻³) = 4.4
! - Fermi-level density of states (states/eV/cell) = 13.4
! - symmetry = C2/c, No. 15

***

(9)
! Ta3RuBr (PBE-GGA, optimized geometry); values from VASP
&SYSTEM
  ibrav = 0, nat = 5, ntyp = 3
/
ATOMIC_SPECIES
Ru 101.07 Ru.upf
Ta 180.95 Ta.upf
Br 79.90 Br.upf
ATOMIC_POSITIONS angstrom
Ru 0.000 0.000 0.000
Ta 2.077 0.937 0.856
Br 0.597 1.412 3.928
Ta -0.233 -1.334 2.023
Ta -1.248 1.808 1.048
CELL_PARAMETERS angstrom
-2.496 3.617 2.097
-0.465 -2.667 4.047
4.155 1.874 1.713
! - magnetization (μB per cell) = 0.000
! - density (g cm⁻³) = 10.4
! - excess energy over the best structure of this formula in the dataset (eV per atom) = 0.0000
! - Fermi-level density of states (states/eV/cell) = 5.4
! - symmetry = Pm-3m, No. 221

***

(10)
! Ce2Zn16Ir (PBE-GGA, optimized geometry); values from VASP
&SYSTEM
  ibrav = 0, nat = 19, ntyp = 3
/
ATOMIC_SPECIES
Zn 65.41 Zn.upf
Ir 192.22 Ir.upf
Ce 140.12 Ce.upf
ATOMIC_POSITIONS angstrom
Zn 3.018 5.679 3.377
Zn 7.277 4.834 3.307
Zn 5.954 2.431 3.377
Zn 5.543 6.753 3.307
Zn 2.471 4.834 7.602
Zn 5.059 1.972 7.602
Zn 7.151 3.440 8.002
Ir 6.709 6.064 7.508
Ce 5.053 4.567 5.655
Zn 6.987 1.972 5.879
Zn 2.689 2.431 6.295
Ce 2.567 2.320 2.872
Zn 4.537 1.087 5.077
Zn 1.539 4.404 5.077
Zn 0.747 0.675 0.836
Zn 2.666 6.753 5.879
Zn 4.873 4.404 2.098
Zn 4.143 6.768 8.002
Zn 7.488 6.768 5.013
CELL_PARAMETERS angstrom
6.770 0.032 0.799
0.714 6.733 0.799
0.035 0.032 6.817
! - magnetization (μB per cell) = 1.193
! - E_form (eV/f.u.) = -4.7
! - density (g cm⁻³) = 8.1
! - Fermi-level density of states (states/eV/cell) = 15.3
! - symmetry = R3m, No. 160

***

(11)
! AgC2 (PBE-GGA, optimized geometry); values from VASP
&SYSTEM
  ibrav = 0, nat = 3, ntyp = 2
/
ATOMIC_SPECIES
C 12.01 C.upf
Ag 107.87 Ag.upf
ATOMIC_POSITIONS angstrom
C 1.615 1.615 0.000
Ag 0.000 0.000 0.000
C 0.000 0.000 2.052
CELL_PARAMETERS angstrom
3.229 0.000 0.000
0.000 3.229 0.000
0.000 0.000 4.105
! - magnetization (μB per cell) = 0.005
! - E_form (eV/f.u.) = 10.5
! - density (g cm⁻³) = 5.1
! - excess energy over the best structure of this formula in the dataset (eV per atom) = 3.1700
! - Fermi-level density of states (states/eV/cell) = 1.5
! - symmetry = P4/mmm, No. 123

***

Question: What is the density in the eighth record?
Answer: 4.4 g cm⁻³